A plane-wave DFT calculation with PBE was carried out for a geometry-optimized Nd6SmDy6 structure.

abc: 6.7423 6.7423 11.4643
angles: 90.00 90.00 120.00
Space group P6/mmm (No. 191)
One atom of each set of equivalent atoms:
1 Nd 0.0000 0.0000 0.1528 (multiplicity 2)
2 Nd 0.3333 0.6667 0.0000 (multiplicity 2)
3 Nd 0.3333 0.6667 0.5000 (multiplicity 2)
4 Sm 0.0000 0.0000 0.5000 (multiplicity 1)
5 Dy 0.0000 0.5000 0.2521 (multiplicity 6)

The calculation puts the density of states at the Fermi level at 27.3 states/eV/f.u. The calculated formation energy is 260 meV/atom.